# 1
Material: Na2AlSb2
Method: DFT, PBE
State: optimized geometry

```
Na2AlSb2
1.0
6.174 -3.182 0.000
6.174 3.182 0.000
-1.899 0.000 7.644
Na Al Sb
4 2 4
Direct
0.001 0.718 0.871
0.282 0.999 0.629
0.718 0.001 0.371
0.999 0.282 0.129
0.460 0.540 0.250
0.540 0.460 0.750
0.213 0.522 0.470
0.478 0.787 0.030
0.522 0.213 0.970
0.787 0.478 0.530
```

Summary:
- Formation energy from raw total energies: -5.49 kcal/mol of atoms
- Offset from the most stable computed form: 0.000 eV per atom

---

# 2
Material: Na3Al2Sb3
Method: DFT, PBE
State: optimized geometry

```
Na3Al2Sb3
1.0
2.198 -7.067 0.000
2.198 7.067 0.000
0.000 0.000 14.742
Na Al Sb
6 4 6
Direct
0.050 0.950 0.618
0.050 0.950 0.882
0.302 0.698 0.750
0.698 0.302 0.250
0.950 0.050 0.118
0.950 0.050 0.382
0.248 0.752 0.091
0.248 0.752 0.409
0.752 0.248 0.591
0.752 0.248 0.909
0.352 0.648 0.250
0.369 0.631 0.555
0.369 0.631 0.945
0.631 0.369 0.055
0.631 0.369 0.445
0.648 0.352 0.750
```

Summary:
- Formation energy from raw total energies: -6.61 kcal/mol of atoms

---

# 3
Material: NaAlSb2
Method: DFT, PBE
State: optimized geometry

```
NaAlSb2
1.0
2.151 1.242 6.910
-2.151 1.242 6.910
0.000 -2.484 6.910
Na Al Sb
1 1 2
Direct
0.000 0.000 0.000
0.167 0.167 0.167
0.567 0.567 0.567
0.767 0.767 0.767
```

Summary:
- Formation energy from raw total energies: -0.70 kcal/mol of atoms

---

# 4
Material: NaAlSbSe3
Method: DFT, PBE
State: optimized geometry

```
NaAlSbSe3
1.0
8.709 0.000 0.000
0.000 3.947 0.000
-0.335 0.000 10.577
Na Al Sb Se
2 2 2 6
Direct
0.168 0.250 0.112
0.832 0.750 0.888
0.070 0.250 0.609
0.930 0.750 0.391
0.360 0.750 0.844
0.640 0.250 0.156
0.074 0.250 0.829
0.185 0.750 0.503
0.429 0.750 0.156
0.571 0.250 0.844
0.815 0.250 0.497
0.926 0.750 0.171
```

Summary:
- Formation energy from raw total energies: -14.38 kcal/mol of atoms

---

# 5
Material: Na2AlSbSe4
Method: DFT, PBE
State: optimized geometry

```
Na2AlSbSe4
1.0
9.605 0.000 0.000
0.000 8.004 0.000
0.000 0.000 6.273
Na Al Sb Se
4 2 2 8
Direct
0.245 0.168 0.000
0.255 0.832 0.500
0.745 0.832 0.500
0.755 0.168 0.000
0.000 0.351 0.548
0.500 0.649 0.048
0.000 0.693 0.026
0.500 0.307 0.526
0.000 0.379 0.937
0.000 0.645 0.443
0.209 0.198 0.475
0.291 0.802 0.975
0.500 0.355 0.943
0.500 0.621 0.437
0.709 0.802 0.975
0.791 0.198 0.475
```

Summary:
- Formation energy from raw total energies: -17.94 kcal/mol of atoms

---

# 6
Material: NaAlSbTe3
Method: DFT, PBE
State: optimized geometry

```
NaAlSbTe3
1.0
9.158 0.000 0.000
0.000 4.315 0.000
-1.186 0.000 11.133
Na Al Sb Te
2 2 2 6
Direct
0.137 0.250 0.148
0.863 0.750 0.852
0.082 0.250 0.603
0.918 0.750 0.397
0.384 0.750 0.839
0.616 0.250 0.161
0.118 0.250 0.836
0.199 0.750 0.502
0.399 0.750 0.134
0.601 0.250 0.866
0.801 0.250 0.498
0.882 0.750 0.164
```

Summary:
- Formation energy from raw total energies: -8.48 kcal/mol of atoms

---

> What is the formation energy from raw total energies in the fourth record?

-14.38 kcal/mol of atoms

---

> What is the formation energy from raw total energies in the fourth record?

-14.38 kcal/mol of atoms

---

> Among the records above, which one has the highest formation energy from raw total energies?

NaAlSb2

---

> What is the formation energy from raw total energies in the fifth record?

-17.94 kcal/mol of atoms